No. 1
VASP calculation (PBE) on a relaxed structure of CsAgH2Cl4.

a b c (Å): 5.9321 6.8036 6.8036
angles (deg): 73.99 64.15 64.15
Last column: nearest neighbours and their distance in Å.
Atoms (fractional coordinates):
Ag  0.5000  0.5000  0.5000  4 Cl 2.64
Cl  0.3772  0.1940  0.4470  1 H 1.57
Cl  0.0181  0.8060  0.5530  1 H 1.57
Cl  0.6228  0.5530  0.8060  1 H 1.57
Cl  0.9819  0.4470  0.1940  1 H 1.57
H  0.8265  0.6735  0.6735  2 Cl 1.57
H  0.1735  0.3265  0.3265  2 Cl 1.57
Cs  0.0000  0.0000  0.0000  8 Cl 3.58-3.66

Total moment in μB per atom: 0.000
Symmetry: I222 (23)
E_tot in eV/cell: -24.9
DOS(E_F) in states/eV/f.u.: 0.0


No. 2
VASP calculation (PBE) on a relaxed structure of Fe2IrOs.

a b c (Å): 2.6713 3.6864 5.2276
angles (deg): 90.00 90.00 90.00
Last column: nearest neighbours and their distance in Å.
Atoms (fractional coordinates):
Ir  0.0000  0.0000  0.4940  6 Fe 2.57-2.66, 2 Ir 2.67, 4 Os 2.69
Fe  0.5000  0.5000  0.2363  1 Os 2.45, 6 Fe 2.58-2.67, 4 Ir 2.64
Fe  0.0000  0.0000  0.0024  2 Ir 2.57-2.66, 6 Fe 2.58-2.67, 4 Os 2.59
Os  0.5000  0.5000  0.7673  5 Fe 2.45-2.59, 2 Os 2.67, 4 Ir 2.69

Total moment in μB per atom: 0.766
Symmetry: Pmm2 (25)
Formation energy from the elements in eV/f.u.: 0.23
E_tot in eV/cell: -36.8
DOS(E_F) in states/eV/f.u.: 4.7


No. 3
VASP calculation (PBE) on a relaxed structure of LiIr2Ru.

a b c (Å): 2.6791 2.6791 9.0588
angles (deg): 90.00 90.00 118.34
Last column: nearest neighbours and their distance in Å.
Atoms (fractional coordinates):
Ir  0.0000  0.0000  0.0029  2 Li 2.63, 2 Ru 2.67, 6 Ir 2.68-2.75
Ir  0.0000  0.0000  0.4971  2 Li 2.63, 2 Ru 2.67, 6 Ir 2.68-2.75
Ru  0.5000  0.5000  0.7500  4 Ir 2.67, 6 Ru 2.68-2.75
Li  0.5000  0.5000  0.2500  4 Ir 2.63, 6 Li 2.68-2.75

Total moment in μB per atom: 0.157
Symmetry: Cmmm (65)
Energy above the lowest structure with this stoichiometry in eV per atom: 0.189
Formation energy from the elements in eV/f.u.: 0.65
E_tot in eV/cell: -28.3
DOS(E_F) in states/eV/f.u.: 5.2


No. 4
VASP calculation (PBE) on a relaxed structure of Cu2ReCl.

a b c (Å): 2.8400 2.8400 7.9846
angles (deg): 90.00 90.00 90.00
Last column: nearest neighbours and their distance in Å.
Atoms (fractional coordinates):
Cu  0.0000  0.0000  0.0799  4 Cu 2.48
Cu  0.5000  0.5000  0.2623  4 Cu 2.48, 4 Re 2.63
Re  0.0000  0.0000  0.4759  4 Cl 2.60, 4 Cu 2.63, 4 Re 2.84
Cl  0.5000  0.5000  0.6819  4 Re 2.60, 4 Cl 2.84

Total moment in μB per atom: 0.000
Symmetry: P4mm (99)
Energy above the lowest structure with this stoichiometry in eV per atom: 0.238
E_tot in eV/cell: -20.2
DOS(E_F) in states/eV/f.u.: 1.1